This record from the Alexandria database describes a geometry-optimized KMnSn3O8 structure. The functional is PBE with a Hubbard U.

Cell: 3.239 7.542 7.635 Å, 88.11 79.73 78.61°
Site moments in Bohr magnetons follow the coordinates.
Sites, in units of the cell vectors:
1 O 0.181 0.290 0.369  0.00
2 O 0.489 0.389 0.706  0.01
3 O 0.781 0.355 0.040  -0.03
4 O 0.138 0.652 0.952  -0.02
5 O 0.840 0.706 0.631  -0.01
6 O 0.540 0.621 0.294  0.01
7 O 0.177 0.052 0.649  0.00
8 O 0.843 0.951 0.363  0.00
9 Sn 0.665 0.194 0.520  0.01
10 Sn 0.351 0.811 0.494  0.01
11 Sn 0.162 0.485 0.171  0.01
12 K 0.493 0.978 0.993  0.00
13 Mn 0.841 0.515 0.817  3.91

distance to the lowest polymorph of the same formula	0.000	eV/atom
size of the total moment	0.31	μB per atom